a.
Compound: ScMn2Co
Source: the Alexandria database
Functional: meta-GGA SCAN
Structure: PBEsol geometry

Computed properties:
Calculated density ... 6.71 g/cm3
Volume ... 52.9 Å³/cell
Symmetry ... R3m (160)

Unit cell a=2.7665 b=2.7665 c=8.1375 alpha=80.21 beta=80.21 gamma=60.00
Sites, in units of the cell vectors:
1 Mn 0.0002 0.0002 0.9993
2 Mn 0.7415 0.7415 0.7755
3 Sc 0.5015 0.5015 0.4956
4 Co 0.2568 0.2568 0.2297


b.
Compound: ScMn2Co
Source: the Alexandria database
Functional: meta-GGA SCAN
Structure: PBEsol geometry

Computed properties:
Calculated density ... 6.98 g/cm3
Volume ... 50.8 Å³/cell
Symmetry ... F-43m (216)

Unit cell a=4.1579 b=4.1579 c=4.1579 alpha=60.00 beta=60.00 gamma=60.00
Sites, in units of the cell vectors:
1 Mn 0.0000 0.0000 0.0000
2 Mn 0.7500 0.7500 0.7500
3 Co 0.5000 0.5000 0.5000
4 Sc 0.2500 0.2500 0.2500


c.
Compound: ScMn2Co
Source: the Alexandria database
Functional: meta-GGA SCAN
Structure: PBEsol geometry

Computed properties:
Calculated density ... 7.21 g/cm3
Volume ... 49.3 Å³/cell
Symmetry ... C2/m (12)

Unit cell a=2.6118 b=4.5729 c=4.8411 alpha=115.22 beta=100.89 gamma=99.86
Sites, in units of the cell vectors:
1 Sc 0.0000 0.5000 0.0000
2 Mn 0.5000 0.5000 0.5000
3 Mn 0.0000 0.0000 0.5000
4 Co 0.5000 0.0000 0.0000


Of them, c has the lowest stability.


a.
Compound: Mn2CoSe
Source: the Alexandria database
Functional: meta-GGA SCAN
Structure: PBEsol geometry

Computed properties:
Calculated density ... 8.26 g/cm3
Volume ... 49.8 Å³/cell
Symmetry ... Cmmm (65)

Unit cell a=2.9698 b=4.1745 c=4.1745 alpha=105.74 beta=90.00 gamma=90.00
Sites, in units of the cell vectors:
1 Mn 0.0000 0.0000 0.5000
2 Mn 0.0000 0.5000 0.0000
3 Co 0.5000 0.5000 0.5000
4 Se 0.5000 0.0000 0.0000


b.
Compound: Mn2CoSe
Source: the Alexandria database
Functional: meta-GGA SCAN
Structure: PBEsol geometry

Computed properties:
Calculated density ... 8.02 g/cm3
Volume ... 51.3 Å³/cell
Symmetry ... P4/mmm (123)

Unit cell a=3.1199 b=3.1199 c=5.2697 alpha=90.00 beta=90.00 gamma=90.00
Sites, in units of the cell vectors:
1 Co 0.5000 0.5000 0.5000
2 Mn 0.0000 0.0000 0.7454
3 Mn 0.0000 0.0000 0.2546
4 Se 0.5000 0.5000 0.0000


Of them, a has the lowest stability.


a.
Compound: MnCo2Se
Source: the Alexandria database
Functional: meta-GGA SCAN
Structure: PBEsol geometry

Computed properties:
Calculated density ... 8.94 g/cm3
Volume ... 46.7 Å³/cell
Symmetry ... I-4m2 (119)

Unit cell a=3.4926 b=3.4926 c=4.5588 alpha=112.52 beta=112.52 gamma=90.00
Sites, in units of the cell vectors:
1 Co 0.0000 0.0000 0.0000
2 Co 0.7500 0.2500 0.5000
3 Mn 0.5000 0.5000 0.0000
4 Se 0.2500 0.7500 0.5000


b.
Compound: MnCo2Se
Source: the Alexandria database
Functional: meta-GGA SCAN
Structure: PBEsol geometry

Computed properties:
Calculated density ... 8.63 g/cm3
Volume ... 48.4 Å³/cell
Symmetry ... Fm-3m (225)

Unit cell a=4.0916 b=4.0916 c=4.0916 alpha=60.00 beta=60.00 gamma=60.00
Sites, in units of the cell vectors:
1 Se 0.5000 0.5000 0.5000
2 Co 0.2500 0.2500 0.2500
3 Co 0.7500 0.7500 0.7500
4 Mn 0.0000 0.0000 0.0000


Of them, a has the lowest stability.


a.
Compound: Sr2MnCo
Source: the Alexandria database
Functional: meta-GGA SCAN
Structure: PBEsol geometry

Computed properties:
Calculated density ... 4.83 g/cm3
Volume ... 99.5 Å³/cell
Symmetry ... P4/mmm (123)

Unit cell a=3.8255 b=5.0995 c=5.0996 alpha=90.00 beta=90.00 gamma=90.00
Sites, in units of the cell vectors:
1 Co 0.5000 0.0000 0.5000
2 Sr 0.0000 0.0000 0.0000
3 Sr 0.0000 0.5000 0.5000
4 Mn 0.5000 0.5000 0.0000


b.
Compound: Sr2MnCo
Source: the Alexandria database
Functional: meta-GGA SCAN
Structure: PBEsol geometry

Computed properties:
Calculated density ... 4.35 g/cm3
Volume ... 110.4 Å³/cell
Symmetry ... R-3m (166)

Unit cell a=3.7536 b=3.7536 c=9.3051 alpha=78.36 beta=78.36 gamma=60.00
Sites, in units of the cell vectors:
1 Sr 0.2381 0.2381 0.2856
2 Sr 0.7619 0.7619 0.7144
3 Mn 0.0000 0.0000 0.0000
4 Co 0.5000 0.5000 0.5000


Of them, b has the lowest stability.


a.
Compound: Ta2MnCo
Source: the Alexandria database
Functional: meta-GGA SCAN
Structure: PBEsol geometry

Computed properties:
Calculated density ... 14.21 g/cm3
Volume ... 55.6 Å³/cell
Symmetry ... Fm-3m (225)

Unit cell a=4.2845 b=4.2845 c=4.2845 alpha=60.00 beta=60.00 gamma=60.00
Sites, in units of the cell vectors:
1 Ta 0.2500 0.2500 0.2500
2 Ta 0.7500 0.7500 0.7500
3 Mn 0.0000 0.0000 0.0000
4 Co 0.5000 0.5000 0.5000


b.
Compound: Ta2MnCo
Source: the Alexandria database
Functional: meta-GGA SCAN
Structure: PBEsol geometry

Computed properties:
Calculated density ... 14.25 g/cm3
Volume ... 55.4 Å³/cell
Symmetry ... P4/mmm (123)

Unit cell a=3.0301 b=3.0299 c=6.0387 alpha=90.00 beta=90.00 gamma=90.00
Sites, in units of the cell vectors:
1 Mn 0.5000 0.5000 0.5000
2 Ta 0.0002 0.0000 0.7482
3 Ta 0.9998 0.0000 0.2518
4 Co 0.5000 0.5000 0.0000


Of them, a has the lowest stability.


a.
Compound: Mn2CoW
Source: the Alexandria database
Functional: meta-GGA SCAN
Structure: PBEsol geometry

Computed properties:
Calculated density ... 12.11 g/cm3
Volume ... 48.4 Å³/cell
Symmetry ... Fm-3m (225)

Unit cell a=4.0894 b=4.0894 c=4.0894 alpha=60.00 beta=60.00 gamma=60.00
Sites, in units of the cell vectors:
1 Mn 0.2500 0.2500 0.2500
2 Mn 0.7500 0.7500 0.7500
3 W 0.5000 0.5000 0.5000
4 Co 0.0000 0.0000 0.0000


b.
Compound: Mn2CoW
Source: the Alexandria database
Functional: meta-GGA SCAN
Structure: PBEsol geometry

Computed properties:
Calculated density ... 12.51 g/cm3
Volume ... 46.8 Å³/cell
Symmetry ... I-4m2 (119)

Unit cell a=3.5842 b=3.5842 c=4.4382 alpha=113.82 beta=113.82 gamma=90.00
Sites, in units of the cell vectors:
1 W 0.5000 0.5000 0.0000
2 Mn 0.7500 0.2500 0.5000
3 Mn 0.0000 0.0000 0.0000
4 Co 0.2500 0.7500 0.5000


c.
Compound: Mn2CoW
Source: the Alexandria database
Functional: meta-GGA SCAN
Structure: PBEsol geometry

Computed properties:
Calculated density ... 12.07 g/cm3
Volume ... 48.5 Å³/cell
Symmetry ... Immm (71)

Unit cell a=3.1251 b=3.9939 c=4.6401 alpha=115.49 beta=109.68 gamma=90.00
Sites, in units of the cell vectors:
1 Mn 0.7467 0.7467 0.4935
2 Mn 0.2533 0.2533 0.5065
3 W 0.5000 0.0000 0.0000
4 Co 0.0000 0.5000 0.0000


Of them, b has the lowest stability.


a.
Compound: MnZnCo
Source: the Alexandria database
Functional: meta-GGA SCAN
Structure: PBEsol geometry

Computed properties:
Calculated density ... 8.93 g/cm3
Volume ... 33.3 Å³/cell
Symmetry ... P3m1 (156)

Unit cell a=2.5019 b=2.5019 c=6.1480 alpha=90.00 beta=90.00 gamma=120.00
Sites, in units of the cell vectors:
1 Co 0.0000 0.0000 0.9849
2 Zn 0.6667 0.3333 0.3302
3 Mn 0.3333 0.6667 0.6849


b.
Compound: MnZnCo
Source: the Alexandria database
Functional: meta-GGA SCAN
Structure: PBEsol geometry

Computed properties:
Calculated density ... 8.97 g/cm3
Volume ... 33.2 Å³/cell
Symmetry ... I4mm (107)

Unit cell a=2.5139 b=2.5139 c=5.5470 alpha=103.10 beta=103.10 gamma=90.00
Sites, in units of the cell vectors:
1 Co 0.0109 0.0109 0.0218
2 Zn 0.3358 0.3358 0.6717
3 Mn 0.6532 0.6532 0.3065


Of them, a has the lowest stability.


a.
Compound: CoMo2Os
Source: the Alexandria database
Functional: meta-GGA SCAN
Structure: PBEsol geometry

Computed properties:
Calculated density ... 13.45 g/cm3
Volume ... 54.4 Å³/cell
Symmetry ... I4/mmm (139)

Unit cell a=3.8067 b=3.8067 c=4.6216 alpha=114.32 beta=114.32 gamma=90.00
Sites, in units of the cell vectors:
1 Mo 0.2500 0.7500 0.5000
2 Mo 0.7500 0.2500 0.5000
3 Os 0.0000 0.0000 0.0000
4 Co 0.5000 0.5000 0.0000


b.
Compound: CoMo2Os
Source: the Alexandria database
Functional: meta-GGA SCAN
Structure: PBEsol geometry

Computed properties:
Calculated density ... 13.37 g/cm3
Volume ... 54.8 Å³/cell
Symmetry ... P4mm (99)

Unit cell a=2.6618 b=2.6618 c=7.7299 alpha=90.00 beta=90.00 gamma=90.00
Sites, in units of the cell vectors:
1 Mo 0.0000 0.0000 0.9752
2 Mo 0.5000 0.5000 0.2628
3 Os 0.0000 0.0000 0.5194
4 Co 0.5000 0.5000 0.7426


c.
Compound: CoMo2Os
Source: the Alexandria database
Functional: meta-GGA SCAN
Structure: PBEsol geometry

Computed properties:
Calculated density ... 13.09 g/cm3
Volume ... 55.9 Å³/cell
Symmetry ... Fm-3m (225)

Unit cell a=4.2928 b=4.2928 c=4.2928 alpha=60.00 beta=60.00 gamma=60.00
Sites, in units of the cell vectors:
1 Co 0.0000 0.0000 0.0000
2 Os 0.5000 0.5000 0.5000
3 Mo 0.7500 0.7500 0.7500
4 Mo 0.2500 0.2500 0.2500


d.
Compound: CoMo2Os
Source: the Alexandria database
Functional: meta-GGA SCAN
Structure: PBEsol geometry

Computed properties:
Calculated density ... 13.28 g/cm3
Volume ... 55.1 Å³/cell
Symmetry ... P4mm (99)

Unit cell a=3.0999 b=3.1030 c=5.7323 alpha=90.00 beta=90.00 gamma=90.00
Sites, in units of the cell vectors:
1 Co 0.5000 0.5000 0.7767
2 Mo 0.5000 0.5000 0.2554
3 Mo 0.0000 0.0000 0.9595
4 Os 0.0000 0.0000 0.5084


Of them, b has the lowest stability.


a.
Compound: CoMo2Rh
Source: the Alexandria database
Functional: meta-GGA SCAN
Structure: PBEsol geometry

Computed properties:
Calculated density ... 10.99 g/cm3
Volume ... 53.4 Å³/cell
Symmetry ... P4/mmm (123)

Unit cell a=3.7565 b=3.7565 c=3.7875 alpha=90.00 beta=90.00 gamma=90.00
Sites, in units of the cell vectors:
1 Rh 0.5000 0.5000 0.5000
2 Co 0.0000 0.0000 0.5000
3 Mo 0.0000 0.5000 0.0000
4 Mo 0.5000 0.0000 0.0000


b.
Compound: CoMo2Rh
Source: the Alexandria database
Functional: meta-GGA SCAN
Structure: PBEsol geometry

Computed properties:
Calculated density ... 10.95 g/cm3
Volume ... 53.6 Å³/cell
Symmetry ... Cmmm (65)

Unit cell a=2.6681 b=4.6246 c=4.6246 alpha=110.01 beta=90.00 gamma=90.00
Sites, in units of the cell vectors:
1 Co 0.5000 0.0000 0.0000
2 Rh 0.5000 0.5000 0.5000
3 Mo 0.0000 0.5000 0.0000
4 Mo 0.0000 0.0000 0.5000


Of them, b has the lowest stability.


a.
Compound: CoMo2Rh
Source: the Alexandria database
Functional: meta-GGA SCAN
Structure: PBEsol geometry

Computed properties:
Calculated density ... 10.99 g/cm3
Volume ... 53.4 Å³/cell
Symmetry ... I4/mmm (139)

Unit cell a=3.7525 b=3.7525 c=4.6304 alpha=113.90 beta=113.90 gamma=90.00
Sites, in units of the cell vectors:
1 Rh 0.0000 0.0000 0.0000
2 Co 0.5000 0.5000 0.0000
3 Mo 0.7500 0.2500 0.5000
4 Mo 0.2500 0.7500 0.5000


b.
Compound: CoMo2Rh
Source: the Alexandria database
Functional: meta-GGA SCAN
Structure: PBEsol geometry

Computed properties:
Calculated density ... 10.96 g/cm3
Volume ... 53.6 Å³/cell
Symmetry ... Pmm2 (25)

Unit cell a=2.6694 b=4.2963 c=4.6737 alpha=90.00 beta=90.00 gamma=90.00
Sites, in units of the cell vectors:
1 Co 0.5000 0.5000 0.1982
2 Mo 0.0000 0.5000 0.7059
3 Mo 0.0000 0.0000 0.0547
4 Rh 0.5000 0.0000 0.5412


Of them, b has the lowest stability.


a.
Compound: CoMo2Ru
Source: the Alexandria database
Functional: meta-GGA SCAN
Structure: PBEsol geometry

Computed properties:
Calculated density ... 10.75 g/cm3
Volume ... 54.3 Å³/cell
Symmetry ... R-3m (166)

Unit cell a=2.6894 b=2.6894 c=8.8145 alpha=81.22 beta=81.22 gamma=60.00
Sites, in units of the cell vectors:
1 Ru 0.5000 0.5000 0.5000
2 Mo 0.7474 0.7474 0.7577
3 Mo 0.2526 0.2526 0.2423
4 Co 0.0000 0.0000 0.0000


b.
Compound: CoMo2Ru
Source: the Alexandria database
Functional: meta-GGA SCAN
Structure: PBEsol geometry

Computed properties:
Calculated density ... 10.71 g/cm3
Volume ... 54.6 Å³/cell
Symmetry ... F-43m (216)

Unit cell a=4.2575 b=4.2575 c=4.2575 alpha=60.00 beta=60.00 gamma=60.00
Sites, in units of the cell vectors:
1 Ru 0.2500 0.2500 0.2500
2 Co 0.5000 0.5000 0.5000
3 Mo 0.7500 0.7500 0.7500
4 Mo 0.0000 0.0000 0.0000


c.
Compound: CoMo2Ru
Source: the Alexandria database
Functional: meta-GGA SCAN
Structure: PBEsol geometry

Computed properties:
Calculated density ... 10.90 g/cm3
Volume ... 53.6 Å³/cell
Symmetry ... I4/mmm (139)

Unit cell a=3.7905 b=3.7905 c=4.5939 alpha=114.37 beta=114.37 gamma=90.00
Sites, in units of the cell vectors:
1 Mo 0.2500 0.7500 0.5000
2 Mo 0.7500 0.2500 0.5000
3 Ru 0.0000 0.0000 0.0000
4 Co 0.5000 0.5000 0.0000


d.
Compound: CoMo2Ru
Source: the Alexandria database
Functional: meta-GGA SCAN
Structure: PBEsol geometry

Computed properties:
Calculated density ... 10.72 g/cm3
Volume ... 54.5 Å³/cell
Symmetry ... P4mm (99)

Unit cell a=3.0916 b=3.0926 c=5.6998 alpha=90.00 beta=90.00 gamma=90.00
Sites, in units of the cell vectors:
1 Co 0.5000 0.5000 0.7757
2 Mo 0.5000 0.5000 0.2579
3 Mo 0.0000 0.0000 0.9603
4 Ru 0.0000 0.0000 0.5060


Of them, a has the lowest stability.


a.
Compound: TaCoMo2
Source: the Alexandria database
Functional: meta-GGA SCAN
Structure: PBEsol geometry

Computed properties:
Calculated density ... 12.07 g/cm3
Volume ... 59.4 Å³/cell
Symmetry ... R-3m (166)

Unit cell a=2.7340 b=2.7340 c=9.3110 alpha=81.56 beta=81.56 gamma=60.00
Sites, in units of the cell vectors:
1 Mo 0.2587 0.2587 0.2238
2 Mo 0.7413 0.7413 0.7762
3 Co 0.0000 0.0000 0.0000
4 Ta 0.5000 0.5000 0.5000


b.
Compound: TaCoMo2
Source: the Alexandria database
Functional: meta-GGA SCAN
Structure: PBEsol geometry

Computed properties:
Calculated density ... 12.22 g/cm3
Volume ... 58.7 Å³/cell
Symmetry ... Fm-3m (225)

Unit cell a=4.3618 b=4.3618 c=4.3618 alpha=60.00 beta=60.00 gamma=60.00
Sites, in units of the cell vectors:
1 Mo 0.7500 0.7500 0.7500
2 Mo 0.2500 0.2500 0.2500
3 Co 0.0000 0.0000 0.0000
4 Ta 0.5000 0.5000 0.5000


Of them, a has the lowest stability.